This record from the Alexandria database describes MnSbOs2N after structural relaxation. The functional is PBE-GGA.

**Raw total energy**: -7.616 eV per atom
**ΔE_f (raw)**: 579 kJ/mol of formula units

Lattice parameters (Å, degrees): 4.746 3.423 4.746 90.00 90.00 90.00
Fractional coordinates of all 5 atoms:
Sb  0.500  0.500  0.500
Mn  0.000  0.000  0.000
Os  0.000  0.000  0.500
Os  0.500  0.000  0.000
N  0.000  0.500  0.000